Entry 1:
Below is TlIN2F after structural relaxation, with properties calculated at the PBE level.

POSCAR file:
```
TlIN2F
1.0
-2.614 2.787 2.436
-3.582 -1.151 -2.527
-1.280 -4.631 3.925
I N Tl F
1 2 1 1
Direct
0.000 0.000 0.500
0.500 0.000 0.000
0.000 0.500 0.000
0.000 0.000 0.000
0.500 0.500 0.500
```

Output
ΔE_f (raw): 1.578 eV/atom
electronic total energy: -2.910 eV/atom
energy relative to the lowest polymorph listed for this composition: 686 meV per atom
symmetry: P4/mmm (123)


Entry 2:
Below is Np3Ag3PdSe8 after structural relaxation, with properties calculated at the PBE level.

POSCAR file:
```
Np3Ag3PdSe8
1.0
-0.968 -7.635 2.222
7.652 3.246 0.050
-5.447 2.236 5.309
Se Ag Pd Np
8 3 1 3
Direct
0.255 0.511 0.248
0.785 0.013 0.280
0.228 0.013 0.280
0.772 0.987 0.720
0.298 0.596 0.787
0.702 0.404 0.213
0.745 0.489 0.752
0.215 0.987 0.720
0.000 0.000 0.000
0.000 0.500 0.000
0.500 0.500 0.000
0.000 0.000 0.500
0.500 0.000 0.500
0.000 0.500 0.500
0.500 0.500 0.500
```

Output
ΔE_f (raw): -0.616 eV/atom
electronic total energy: -5.979 eV/atom
symmetry: C2/m (12)


Entry 3:
Below is BeTl2W after structural relaxation, with properties calculated at the PBE level.

POSCAR file:
```
BeTl2W
1.0
4.973 0.000 0.000
0.000 2.926 0.015
0.000 -0.099 5.340
Be Tl W
1 2 1
Direct
0.500 0.750 0.750
0.000 0.547 0.503
0.000 0.953 0.997
0.500 0.250 0.250
```

Output
electronic total energy: -4.244 eV/atom
energy relative to the lowest polymorph listed for this composition: 431 meV per atom
symmetry: P2/m (10)
energy of formation: 1.11 eV per atom